No. 1
Below is CsSrMoS4 after structural relaxation, with properties calculated at the GGA-PBE level.

POSCAR file:
```
CsSrMoS4
1.0
7.033 0.000 -0.025
0.000 6.952 0.000
-2.790 0.000 9.160
Cs Sr Mo S
2 2 2 8
Direct
0.723 0.750 0.934 Cs
0.277 0.250 0.066 Cs
0.765 0.750 0.451 Sr
0.235 0.250 0.549 Sr
0.215 0.750 0.328 Mo
0.785 0.250 0.672 Mo
0.993 0.503 0.710 S
0.007 0.003 0.290 S
0.007 0.497 0.290 S
0.993 0.997 0.710 S
0.408 0.750 0.178 S
0.592 0.250 0.822 S
0.399 0.750 0.562 S
0.601 0.250 0.438 S
```

Summary:
Symmetry: P2_1/m
Total magnetization, μB/cell: 2.00
Raw formation energy, eV per atom: -1.165


No. 2
Below is Cs3Tb3MoS8 after structural relaxation, with properties calculated at the GGA-PBE level.

POSCAR file:
```
Cs3Tb3MoS8
1.0
7.941 0.000 0.000
-3.970 6.877 -0.030
0.000 -4.554 8.237
Cs Tb Mo S
3 3 1 8
Direct
0.000 0.000 0.000 Cs
0.000 0.500 0.000 Cs
0.500 0.500 0.000 Cs
0.500 0.000 0.500 Tb
0.500 0.500 0.500 Tb
0.000 0.500 0.500 Tb
0.000 0.000 0.500 Mo
0.272 0.544 0.317 S
0.728 0.456 0.683 S
0.790 0.579 0.328 S
0.210 0.421 0.672 S
0.790 0.038 0.328 S
0.210 0.962 0.672 S
0.249 0.038 0.328 S
0.751 0.962 0.672 S
```

Summary:
Symmetry: R-3m
Total magnetization, μB/cell: 2.00
Raw formation energy, eV per atom: -1.518


No. 3
Below is CsTcMo2S after structural relaxation, with properties calculated at the GGA-PBE level.

POSCAR file:
```
CsTcMo2S
1.0
-2.483 3.400 2.474
-4.292 -1.249 -2.591
-1.107 -3.301 3.425
Cs Mo S Tc
1 2 1 1
Direct
0.000 0.000 0.000 Cs
0.000 0.000 0.500 Mo
0.500 0.000 0.000 Mo
0.000 0.500 0.000 S
0.500 0.500 0.500 Tc
```

Summary:
Symmetry: P4/mmm
Total magnetization, μB/cell: 0.25
Raw formation energy, eV per atom: 3.613


No. 4
Below is CsTcMoS3 after structural relaxation, with properties calculated at the GGA-PBE level.

POSCAR file:
```
CsTcMoS3
1.0
-0.339 2.052 -2.895
-8.326 -3.025 -1.169
1.173 8.039 5.561
Cs Tc Mo S
2 2 2 6
Direct
0.250 0.254 0.261 Cs
0.750 0.746 0.739 Cs
0.250 0.088 0.619 Tc
0.750 0.912 0.381 Tc
0.250 0.700 0.158 Mo
0.750 0.300 0.842 Mo
0.750 0.875 0.131 S
0.250 0.125 0.869 S
0.250 0.781 0.433 S
0.750 0.219 0.567 S
0.750 0.481 0.127 S
0.250 0.519 0.873 S
```

Summary:
Symmetry: P2_1/m
Total magnetization, μB/cell: 0.00
Raw formation energy, eV per atom: -0.693


No. 5
Below is Cs3TlMo2S8 after structural relaxation, with properties calculated at the GGA-PBE level.

POSCAR file:
```
Cs3TlMo2S8
1.0
-2.395 3.549 6.186
4.884 -5.692 0.582
7.768 6.587 -0.772
Cs Tl Mo S
3 1 2 8
Direct
0.333 0.667 0.656 Cs
0.667 0.333 0.344 Cs
0.000 0.000 0.000 Cs
0.000 0.000 0.500 Tl
0.333 0.667 0.221 Mo
0.667 0.333 0.779 Mo
0.333 0.667 0.008 S
0.667 0.333 0.992 S
0.173 0.827 0.293 S
0.827 0.173 0.707 S
0.173 0.346 0.293 S
0.827 0.654 0.707 S
0.654 0.827 0.293 S
0.346 0.173 0.707 S
```

Summary:
Symmetry: P-3m1
Total magnetization, μB/cell: 0.00
Raw formation energy, eV per atom: -0.846


No. 6
Below is CsTl2MoS4 after structural relaxation, with properties calculated at the GGA-PBE level.

POSCAR file:
```
CsTl2MoS4
1.0
7.850 0.234 0.000
-0.418 7.842 0.000
-3.716 -4.038 4.376
Cs Tl Mo S
1 2 1 4
Direct
0.999 0.999 0.998 Cs
0.757 0.257 0.514 Tl
0.257 0.757 0.514 Tl
0.498 0.498 0.997 Mo
0.527 0.527 0.714 S
0.470 0.805 0.275 S
0.805 0.470 0.275 S
0.187 0.187 0.714 S
```

Summary:
Symmetry: Fmm2
Total magnetization, μB/cell: 0.72
Raw formation energy, eV per atom: -0.619


No. 7
Below is CsSbMo3 after structural relaxation, with properties calculated at the GGA-PBE level.

POSCAR file:
```
CsSbMo3
1.0
4.976 0.000 0.000
0.000 4.976 0.000
0.000 0.000 4.976
Cs Sb Mo
1 1 3
Direct
0.000 0.000 0.000 Cs
0.500 0.500 0.500 Sb
0.000 0.500 0.000 Mo
0.000 0.000 0.500 Mo
0.500 0.000 0.000 Mo
```

Summary:
Symmetry: Pm-3m
Total magnetization, μB/cell: 3.15
Raw formation energy, eV per atom: 3.055


No. 8
Below is CsSbMo2 after structural relaxation, with properties calculated at the GGA-PBE level.

POSCAR file:
```
CsSbMo2
1.0
6.458 0.000 0.000
0.000 6.458 0.000
3.229 3.229 5.440
Cs Sb Mo
2 2 4
Direct
0.000 0.000 0.000 Cs
0.750 0.250 0.500 Cs
0.500 0.500 0.000 Sb
0.250 0.750 0.500 Sb
0.623 0.125 0.250 Mo
0.127 0.625 0.250 Mo
0.375 0.377 0.750 Mo
0.875 0.873 0.750 Mo
```

Summary:
Symmetry: I-42d
Total magnetization, μB/cell: 0.00
Raw formation energy, eV per atom: 2.308